Entry 1:
# BePdAu, optimized geometry, DFT PBE
data_BePdAu
_cell_length_a 5.602
_cell_length_b 5.602
_cell_length_c 5.602
_cell_angle_alpha 90.00
_cell_angle_beta 90.00
_cell_angle_gamma 90.00
_symmetry_space_group_name_H-M 'F -4 3 m'
_symmetry_Int_Tables_number 216
_symmetry_space_group_name_Hall 'F -4 2 3'
loop_
_atom_site_label
_atom_site_type_symbol
_atom_site_fract_x
_atom_site_fract_y
_atom_site_fract_z
Be1 Be 0.000 0.000 0.000
Pd1 Pd 0.250 0.250 0.250
Au1 Au 0.250 0.250 0.750
# Total energy   -52.51 eV for the cell shown
# ΔH_f (0 K)   -29.97 kJ per mole of atoms



Entry 2:
# Pm3Al3Si2, optimized geometry, DFT PBE
data_Pm3Al3Si2
_cell_length_a 4.121
_cell_length_b 11.290
_cell_length_c 15.835
_cell_angle_alpha 90.00
_cell_angle_beta 90.00
_cell_angle_gamma 90.00
_symmetry_space_group_name_H-M 'C m c m'
_symmetry_Int_Tables_number 63
_symmetry_space_group_name_Hall '-C 2c 2'
loop_
_atom_site_label
_atom_site_type_symbol
_atom_site_fract_x
_atom_site_fract_y
_atom_site_fract_z
Pm1 Pm 0.000 0.069 0.250
Pm2 Pm 0.000 0.356 0.092
Al1 Al 0.000 0.073 0.058
Al2 Al 0.000 0.205 0.750
Si1 Si 0.000 0.348 0.621
# Formation energy without anion corrections   -4.7 eV/f.u.
# Total energy   -164.09 eV for the cell shown



Entry 3:
# La3NbGa5O14, optimized geometry, DFT PBE
data_La3NbGa5O14
_cell_length_a 8.3321
_cell_length_b 8.3321
_cell_length_c 5.2403
_cell_angle_alpha 90.00
_cell_angle_beta 90.00
_cell_angle_gamma 120.00
_symmetry_space_group_name_H-M 'P 3 2 1'
_symmetry_Int_Tables_number 150
loop_
_symmetry_equiv_pos_as_xyz
'x,y,z'
'-y,x-y,z'
'-x+y,-x,z'
'y,x,-z'
'x-y,-y,-z'
'-x,-x+y,-z'
loop_
_atom_site_label
_atom_site_type_symbol
_atom_site_fract_x
_atom_site_fract_y
_atom_site_fract_z
La1 La 0.0000 0.5766 0.0000
Nb1 Nb 0.0000 0.0000 0.0000
Ga1 Ga 0.0000 0.2457 0.5000
Ga2 Ga 0.3333 0.6667 0.5315
O1 O 0.0786 0.8546 0.2428
O2 O 0.1435 0.4600 0.6994
O3 O 0.3333 0.6667 0.1832
# Formation energy without anion corrections   -57.1 eV/f.u.
# Total energy   -166.55 eV for the cell shown



Entry 4:
# PrSmHoPu, optimized geometry, DFT PBE
data_PrSmHoPu
_cell_length_a 8.030
_cell_length_b 8.030
_cell_length_c 8.030
_cell_angle_alpha 90.00
_cell_angle_beta 90.00
_cell_angle_gamma 90.00
_symmetry_space_group_name_H-M 'F -4 3 m'
_symmetry_Int_Tables_number 216
_symmetry_space_group_name_Hall 'F -4 2 3'
loop_
_atom_site_label
_atom_site_type_symbol
_atom_site_fract_x
_atom_site_fract_y
_atom_site_fract_z
Pr1 Pr 0.000 0.000 0.000
Sm1 Sm 0.000 0.000 0.500
Ho1 Ho 0.250 0.250 0.750
Pu1 Pu 0.250 0.250 0.250
# Total energy   -110.18 eV for the cell shown
# ΔH_f (0 K)   20.84 kJ per mole of atoms



Which D(E_F) belongs to each record? In order, 2.26; 13.28; 5.22; 51.85 states/eV/cell.
Which density belongs to each record? In order, 11.805; 5.158; 5.704; 8.982 g cm⁻³.